1) Entry from the Alexandria database: a relaxed Pu2ClF crystal (PBE-GGA).

It has space group R-3m (No. 166, hexagonal axes), with a = 3.4343 Å, b = 3.4343 Å, c = 24.7133 Å, α = 90.00°, β = 90.00° and γ = 120.00°. The asymmetric unit holds Pu at (0.0000, 0.0000, 0.2431), Cl at (0.0000, 0.0000, 0.0000) and F at (0.0000, 0.0000, 0.5000).

The calculation puts the magnetization at 12.3 μB per formula unit.



2) Entry from the Alexandria database: a relaxed Pu2ClF crystal (PBE-GGA).

It has space group P4/mmm (No. 123), with a = 3.380 Å, b = 3.380 Å, c = 7.269 Å, α = 90.00°, β = 90.00° and γ = 90.00°. The asymmetric unit holds Pu at (0.000, 0.000, 0.233), Cl at (0.500, 0.500, 0.500) and F at (0.500, 0.500, 0.000).

The calculation puts the magnetization at 13.9 μB per formula unit.



Energy ordering: 1) at the bottom, the next structure 23.4 kJ/mol of atoms above.



1) Entry from the Alexandria database: a relaxed Pu2Cl3F crystal (PBE-GGA).

It has space group C2/m (No. 12), with a = 15.228 Å, b = 4.168 Å, c = 10.677 Å, α = 90.00°, β = 114.97° and γ = 90.00°. The asymmetric unit holds Pu at (0.096, 0.000, 0.444), Pu at (0.146, 0.500, 0.819), Cl at (0.055, 0.500, 0.245), Cl at (0.152, 0.000, 0.006), Cl at (0.228, 0.500, 0.617) and F at (0.088, 0.000, 0.677).

The calculation puts the magnetization at 12.0 μB per formula unit.



2) Entry from the Alexandria database: a relaxed Pu2Cl3F crystal (PBE-GGA).

It has space group Cmmm (No. 65), with a = 4.350 Å, b = 18.156 Å, c = 3.636 Å, α = 90.00°, β = 90.00° and γ = 90.00°. The asymmetric unit holds Pu at (0.000, 0.100, 0.000), Cl at (0.000, 0.337, 0.500), Cl at (0.000, 0.500, 0.000) and F at (0.000, 0.000, 0.500).

The calculation puts the magnetization at 12.0 μB per formula unit.



Energy ordering: 1) at the bottom, the next structure 14.2 kJ/mol of atoms above.



1) Entry from the Alexandria database: a relaxed PuCl2F crystal (PBE-GGA).

It has space group Cm (No. 8), with a = 7.090 Å, b = 4.093 Å, c = 7.354 Å, α = 90.00°, β = 108.10° and γ = 90.00°. The asymmetric unit holds Pu at (0.000, 0.000, 0.000), Cl at (0.251, 0.000, 0.745), Cl at (0.414, 0.000, 0.252) and F at (0.166, 0.500, 0.997).

The calculation puts the magnetization at 5.0 μB per formula unit.



2) Entry from the Alexandria database: a relaxed PuCl2F crystal (PBE-GGA).

It has space group P2_1/m (No. 11), with a = 3.799 Å, b = 8.380 Å, c = 6.802 Å, α = 90.00°, β = 105.78° and γ = 90.00°. The asymmetric unit holds Pu at (0.243, 0.250, 0.487), Cl at (0.147, 0.557, 0.288) and F at (0.349, 0.750, 0.704).

The calculation puts the magnetization at 5.0 μB per formula unit.



Energy ordering: 2) at the bottom, the next structure 0.7 kJ/mol of atoms above.